This record from the Alexandria database describes an optimized crystal structure of KYCd. The functional is PBE.

```
KYCd
1.0
-0.812 -1.332 -5.243
-4.762 -2.195 -1.558
-3.484 2.909 -3.053
Y Cd K
1 1 1
Direct
0.500 0.500 0.500
0.750 0.750 0.750
0.000 0.000 0.000
```

Results
Its symmetry is F-43m (216). For the formation energy, the calculation gives 0.43 eV per atom.

***

This record from the Alexandria database describes an optimized crystal structure of AlReSb2. The functional is PBE.

```
AlReSb2
1.0
3.437 0.000 0.000
0.000 4.762 0.000
0.000 0.000 4.762
Sb Re Al
2 1 1
Direct
0.000 0.000 0.000
0.000 0.500 0.500
0.500 0.000 0.500
0.500 0.500 0.000
```

Results
Its symmetry is P4/mmm (123). Its energy relative to the elements, uncorrected is 267 kJ/mol of formula units.

***

This record from the Alexandria database describes an optimized crystal structure of Cu2TeW. The functional is PBE.

```
Cu2TeW
1.0
2.855 0.220 0.000
-0.213 2.855 0.000
0.000 0.000 8.688
Cu W Te
2 1 1
Direct
0.000 0.000 0.956
0.000 0.000 0.544
0.500 0.500 0.750
0.500 0.500 0.250
```

Results
Its symmetry is Cmmm (65). Its energy relative to the elements, uncorrected is 220 kJ/mol of formula units.

***

This record from the Alexandria database describes an optimized crystal structure of Rb3Er3CrSe8. The functional is PBE.

```
Rb3Er3CrSe8
1.0
8.076 0.000 0.000
-4.038 6.995 -0.029
0.000 -4.630 8.266
Se Rb Er Cr
8 3 3 1
Direct
0.753 0.968 0.682
0.785 0.571 0.318
0.215 0.429 0.682
0.785 0.032 0.318
0.268 0.536 0.304
0.732 0.464 0.696
0.247 0.032 0.318
0.215 0.968 0.682
0.500 0.500 0.000
0.000 0.000 0.000
0.000 0.500 0.000
0.500 0.500 0.500
0.000 0.500 0.500
0.500 0.000 0.500
0.000 0.000 0.500
```

Results
Its symmetry is R-3m (166). Its energy relative to the elements, uncorrected is -2044 kJ/mol of formula units.

***

This record from the Alexandria database describes an optimized crystal structure of GdHg2I. The functional is PBE.

```
GdHg2I
1.0
-1.474 -3.564 -0.740
2.088 -2.595 -2.081
4.658 -5.789 8.186
Hg I Gd
2 1 1
Direct
0.094 0.094 0.717
0.906 0.906 0.283
0.500 0.500 0.500
0.000 0.000 0.000
```

Results
Its symmetry is R-3m (166). Its energy relative to the elements, uncorrected is 5 kJ/mol of formula units.

***

This record from the Alexandria database describes an optimized crystal structure of CsTmTlTe3. The functional is PBE.

```
CsTmTlTe3
1.0
-2.728 3.402 -0.500
-2.552 -3.453 -9.573
-7.059 -4.594 7.249
Te Cs Tl Tm
6 2 2 2
Direct
0.750 0.849 0.152
0.750 0.436 0.138
0.250 0.564 0.862
0.750 0.323 0.569
0.250 0.151 0.848
0.250 0.677 0.431
0.250 0.188 0.234
0.750 0.812 0.766
0.750 0.878 0.431
0.250 0.122 0.569
0.750 0.359 0.852
0.250 0.641 0.148
```

Results
Its symmetry is P2_1/m (11). Its energy relative to the elements, uncorrected is -535 kJ/mol of formula units.

***

This record from the Alexandria database describes an optimized crystal structure of ScTlZn. The functional is PBE.

```
ScTlZn
1.0
6.052 0.028 -0.005
-1.127 3.489 -0.002
1.803 -1.345 6.082
Sc Zn Tl
2 2 2
Direct
0.251 0.219 0.083
0.547 0.029 0.403
0.008 0.754 0.394
0.790 0.494 0.092
0.148 0.470 0.685
0.651 0.778 0.801
```

Results
Its symmetry is P-1 (2). For the formation energy, the calculation gives -0.15 eV per atom.

***

This record from the Alexandria database describes an optimized crystal structure of Ca3InPt3. The functional is PBE.

```
Ca3InPt3
1.0
4.364 0.000 0.000
-2.182 5.298 0.000
0.000 0.000 14.152
Pt Ca In
6 6 2
Direct
0.909 0.818 0.593
0.230 0.459 0.250
0.091 0.182 0.407
0.770 0.541 0.750
0.091 0.182 0.093
0.909 0.818 0.907
0.482 0.964 0.750
0.202 0.403 0.608
0.202 0.403 0.892
0.518 0.036 0.250
0.798 0.597 0.392
0.798 0.597 0.108
0.500 0.000 0.500
0.500 0.000 0.000
```

Results
Its symmetry is Cmcm (63). For the formation energy, the calculation gives -0.88 eV per atom.

***

This record from the Alexandria database describes an optimized crystal structure of Ga2CuTc. The functional is PBE.

```
Ga2CuTc
1.0
2.881 0.000 0.000
1.440 2.495 0.000
1.440 0.832 8.121
Tc Ga Cu
1 2 1
Direct
0.666 0.666 0.001
0.083 0.083 0.750
0.249 0.249 0.252
0.501 0.501 0.497
```

Results
Its symmetry is R3m (160). For the formation energy, the calculation gives -0.04 eV per atom.

***

| no. | ρ (g/cm3) |
| --- | --- |
| 1 | 3.4 |
| 2 | 9.7 |
| 3 | 10.2 |
| 4 | 5.1 |
| 5 | 7.9 |
| 6 | 6.1 |
| 7 | 8.1 |
| 8 | 8.3 |
| 9 | 8.6 |